No. 1
This record from Alexandria via LeMat-Bulk describes a relaxed La4InHg crystal. The functional is PBE.

abc: 6.5128 6.5128 6.5128
angles: 60.00 60.00 60.00
Fractional positions:
La1 0.8789 0.3737 0.3737
La2 0.3737 0.3737 0.8789
La3 0.3737 0.8789 0.3737
La4 0.3737 0.3737 0.3737
In1 0.0000 0.0000 0.0000
Hg1 0.7500 0.7500 0.7500

## Properties
As for the total energy: -3.69 eV/atom. The spin magnetization comes out at 0.0015 μB per atom. The polymorph energy (0 for the lowest one) is 417 meV per atom. The volume is 32.6 A^3/atom. The space group is No. 216.


No. 2
This record from Alexandria via LeMat-Bulk describes a relaxed LaIn3Hg4 crystal. The functional is PBE.

abc: 5.0683 8.1577 10.1325
angles: 90.00 90.00 90.00
Fractional positions:
In1 0.0000 0.0000 0.0000
In2 0.0000 0.0000 0.5000
In3 0.5020 0.0000 0.7500
In4 0.4980 0.0000 0.2500
In5 0.5010 0.5000 0.7500
In6 0.4990 0.5000 0.2500
Hg1 0.5000 0.7578 0.0000
Hg2 0.5000 0.7578 0.5000
Hg3 0.5000 0.2422 0.0000
Hg4 0.5000 0.2422 0.5000
Hg5 0.0020 0.7578 0.7500
Hg6 0.9980 0.7578 0.2500
Hg7 0.9980 0.2422 0.2500
Hg8 0.0020 0.2422 0.7500
La1 0.0000 0.5000 0.0000
La2 0.0000 0.5000 0.5000

## Properties
As for the total energy: -2.03 eV/atom. The spin magnetization comes out at 0.0000 μB per atom. The volume is 26.2 A^3/atom. The space group is No. 51.


No. 3
This record from Alexandria via LeMat-Bulk describes a relaxed LaIn2Hg crystal. The functional is PBE.

abc: 5.0880 3.3933 6.4037
angles: 90.11 90.00 90.00
Site moments in Bohr magnetons follow the coordinates.
Fractional positions:
Hg1 0.5000 0.0027 0.7432  0.00
In1 0.0000 0.9985 0.9978  0.00
In2 0.5000 0.9989 0.2570  0.00
La1 0.0000 0.4999 0.5020  0.08

## Properties
As for the total energy: -3.00 eV/atom. The spin magnetization comes out at 0.0395 μB per atom. The volume is 27.6 A^3/atom. The space group is No. 6.


No. 4
This record from Alexandria via LeMat-Bulk describes a relaxed La2InHg8 crystal. The functional is PBE.

abc: 5.2709 6.9079 9.3614
angles: 111.93 106.70 89.09
Fractional positions:
La1 0.6861 0.6861 0.3721
La2 0.3139 0.3139 0.6279
In1 0.5000 0.0000 0.0000
Hg1 0.1518 0.3624 0.2738
Hg2 0.8780 0.0887 0.7262
Hg3 0.7480 0.4062 0.0000
Hg4 0.6923 0.1923 0.3846
Hg5 0.3077 0.8077 0.6154
Hg6 0.2520 0.5938 0.0000
Hg7 0.1220 0.9113 0.2738
Hg8 0.8482 0.6376 0.7262

## Properties
As for the total energy: -1.64 eV/atom. The spin magnetization comes out at 0.0000 μB per atom. The volume is 27.4 A^3/atom. The space group is No. 12.